Material: P2RhWCl
Method: DFT, PBE
State: optimized geometry

spin magnetization	0.74	μB/f.u.
E_tot	-5.747	eV per atom
energy above the lowest structure with this stoichiometry	0.00	kcal/mol of atoms

Structure (CIF):
```
data_P2RhWCl
_chemical_formula_sum 'P2 Rh1 W1 Cl1'
_space_group_name_H-M_alt 'P 4/m m m'
_space_group_IT_number 123
_space_group_name_Hall '-P 4 2'
_cell_length_a 4.6991
_cell_length_b 4.6991
_cell_length_c 4.6513
_cell_angle_alpha 90.00
_cell_angle_beta 90.00
_cell_angle_gamma 90.00
loop_
_atom_site_label
_atom_site_type_symbol
_atom_site_fract_x
_atom_site_fract_y
_atom_site_fract_z
P1 P 0.0000 0.5000 0.0000
Rh1 Rh 0.0000 0.0000 0.5000
W1 W 0.5000 0.5000 0.0000
Cl1 Cl 0.5000 0.5000 0.5000
```

=====

Material: Nd2Dy2Cu
Method: DFT, PBE
State: optimized geometry

spin magnetization	0.00	μB/f.u.
E_tot	-4.638	eV per atom
DFT formation energy	-0.071	eV/atom

Structure (CIF):
```
data_Nd2Dy2Cu
_chemical_formula_sum 'Nd4 Dy4 Cu2'
_space_group_name_H-M_alt 'I 4/m m m'
_space_group_IT_number 139
_space_group_name_Hall '-I 4 2'
_cell_length_a 3.5522
_cell_length_b 3.5522
_cell_length_c 22.7905
_cell_angle_alpha 90.00
_cell_angle_beta 90.00
_cell_angle_gamma 90.00
loop_
_atom_site_label
_atom_site_type_symbol
_atom_site_fract_x
_atom_site_fract_y
_atom_site_fract_z
Nd1 Nd 0.0000 0.0000 0.1914
Dy1 Dy 0.0000 0.0000 0.4267
Cu1 Cu 0.0000 0.0000 0.0000
```

=====

Material: Tl2CdCu
Method: DFT, PBE
State: optimized geometry

spin magnetization	0.00	μB/f.u.
E_tot	-2.180	eV per atom
energy above the lowest structure with this stoichiometry	2.70	kcal/mol of atoms
DFT formation energy	0.256	eV/atom

Structure (CIF):
```
data_Tl2CdCu
_chemical_formula_sum 'Tl2 Cd1 Cu1'
_space_group_name_H-M_alt 'P 4/m m m'
_space_group_IT_number 123
_space_group_name_Hall '-P 4 2'
_cell_length_a 4.8636
_cell_length_b 4.8636
_cell_length_c 4.0691
_cell_angle_alpha 90.00
_cell_angle_beta 90.00
_cell_angle_gamma 90.00
loop_
_atom_site_label
_atom_site_type_symbol
_atom_site_fract_x
_atom_site_fract_y
_atom_site_fract_z
Tl1 Tl 0.0000 0.5000 0.0000
Cd1 Cd 0.0000 0.0000 0.5000
Cu1 Cu 0.5000 0.5000 0.5000
```

=====

Number 2 is which compound?
Nd2Dy2Cu